DFT (PBE) results for a relaxed structure of Tb3PrSm5.

Cell: 9.4342 9.4342 12.8017 Å, 51.97 51.97 51.60°
With the nearest neighbours (Å) after each atom.
Fractional positions:
1 Sm 0.3182 0.6818 0.0000  1 Tb 2.61
2 Sm 0.5579 0.5579 0.5739  6 Sm 3.39-3.79, 2 Tb 3.43-3.58
3 Tb 0.8341 0.8341 0.3437  2 Tb 3.21-3.29, 1 Pr 3.39, 1 Sm 3.43
4 Tb 0.0000 0.0000 0.0000  2 Sm 2.61
5 Sm 0.4421 0.4421 0.4261  6 Sm 3.39-3.79, 2 Tb 3.43-3.58
6 Sm 0.6327 0.6327 0.0627  5 Sm 3.23-3.57, 1 Pr 3.29
7 Sm 0.3673 0.3673 0.9373  5 Sm 3.23-3.57, 1 Pr 3.29
8 Sm 0.9148 0.5123 0.2234  4 Sm 3.31-3.69, 2 Tb 3.42-3.69, 1 Pr 3.69
9 Sm 0.0852 0.4877 0.7766  4 Sm 3.31-3.69, 2 Tb 3.42-3.69, 1 Pr 3.69
10 Tb 0.0000 0.0000 0.5000  2 Pr 3.71, 4 Sm 3.76, 2 Tb 3.86
11 Tb 0.7010 0.7010 0.6874  1 Tb 3.29, 5 Sm 3.35-3.58
12 Tb 0.1659 0.1659 0.6563  2 Tb 3.21-3.29, 1 Pr 3.39, 1 Sm 3.43
13 Pr 0.8947 0.8947 0.8668  2 Tb 3.21-3.39, 1 Sm 3.29
14 Sm 0.5123 0.9148 0.2234  4 Sm 3.31-3.69, 2 Tb 3.42-3.69, 1 Pr 3.69
15 Tb 0.2990 0.2990 0.3126  1 Tb 3.29, 5 Sm 3.35-3.58
16 Sm 0.6818 0.3182 0.0000  1 Tb 2.61
17 Pr 0.1053 0.1053 0.1332  2 Tb 3.21-3.39, 1 Sm 3.29
18 Sm 0.4877 0.0852 0.7766  4 Sm 3.31-3.69, 2 Tb 3.42-3.69, 1 Pr 3.69

Calculated values
- SG: C2/m, No. 12
- Polymorph energy (0 for the lowest one): 231 meV/atom
- Formation energy: 0.400 eV/atom